Density functional theory data (GGA-PBE) for a relaxed RbZnHg2Ge crystal.

Cell and atoms, written as POSCAR:
```
RbZnHg2Ge
1.0
5.7815 0.0000 0.0000
0.0000 5.7815 0.0000
0.0000 0.0000 4.8845
Rb Zn Hg Ge
1 1 2 1
direct
0.0000 0.0000 0.0000 Rb
0.5000 0.5000 0.0000 Zn
0.0000 0.5000 0.5000 Hg
0.5000 0.0000 0.5000 Hg
0.5000 0.5000 0.5000 Ge
```

Summary:
The calculation puts the energy of formation at 3.7 kJ/mol of atoms. As for the symmetry: P4/mmm, No. 123.



Density functional theory data (GGA-PBE) for a relaxed PmAl2Au3 crystal.

Cell and atoms, written as POSCAR:
```
PmAl2Au3
1.0
5.1383 -4.2968 0.0000
5.1383 4.2968 0.0000
0.0000 0.0000 5.5243
Pm Al Au
2 4 6
direct
0.1872 0.8128 0.7500 Pm
0.8128 0.1872 0.2500 Pm
0.2881 0.2881 0.0000 Al
0.2881 0.2881 0.5000 Al
0.7119 0.7119 0.0000 Al
0.7119 0.7119 0.5000 Al
0.0275 0.6231 0.2500 Au
0.3769 0.9725 0.2500 Au
0.4469 0.5531 0.2500 Au
0.5531 0.4469 0.7500 Au
0.6231 0.0275 0.7500 Au
0.9725 0.3769 0.7500 Au
```

Summary:
The calculation puts the energy of formation at -60.9 kJ/mol of atoms. As for the symmetry: Cmcm, No. 63.



Density functional theory data (GGA-PBE) for a relaxed CoSiRh2 crystal.

Cell and atoms, written as POSCAR:
```
CoSiRh2
1.0
2.7664 0.0000 0.0000
0.0000 3.6754 0.0000
-0.9692 0.0000 5.1675
Co Si Rh
1 1 2
direct
0.0000 0.0000 0.0000 Co
0.0000 0.0000 0.5000 Si
0.3916 0.5000 0.7435 Rh
0.6084 0.5000 0.2565 Rh
```

Summary:
For the uncorrected formation energy, the calculation gives -0.309 eV/atom. As for the symmetry: P2/m, No. 10.



Density functional theory data (GGA-PBE) for a relaxed LaThCO crystal.

Cell and atoms, written as POSCAR:
```
LaThCO
1.0
3.7300 0.0000 0.0000
0.0000 3.7300 0.0000
0.0000 0.0000 5.2878
La Th C O
1 1 1 1
direct
0.0000 0.0000 0.0000 La
0.5000 0.5000 0.5000 Th
0.0000 0.0000 0.5000 C
0.5000 0.5000 0.0000 O
```

Summary:
For the uncorrected formation energy, the calculation gives -1.568 eV/atom. As for the symmetry: P4/mmm, No. 123.



Density functional theory data (GGA-PBE) for a relaxed Si2HgRh crystal.

Cell and atoms, written as POSCAR:
```
Si2HgRh
1.0
2.7592 -3.7247 0.0000
2.7592 3.7247 0.0000
0.0000 0.0000 3.1710
Si Hg Rh
2 1 1
direct
0.0000 0.5000 0.0000 Si
0.5000 0.0000 0.0000 Si
0.0000 0.0000 0.5000 Hg
0.5000 0.5000 0.5000 Rh
```

Summary:
For the uncorrected formation energy, the calculation gives 0.338 eV/atom. As for the symmetry: Cmmm, No. 65.



Density functional theory data (GGA-PBE) for a relaxed Fe3Si crystal.

Cell and atoms, written as POSCAR:
```
Fe3Si
1.0
2.5218 0.0000 0.0000
0.0000 3.8728 0.0000
-1.0253 0.0000 4.6455
Fe Si
3 1
direct
0.0000 0.0000 0.0000 Fe
0.2383 0.5000 0.7457 Fe
0.7617 0.5000 0.2543 Fe
0.5000 0.0000 0.5000 Si
```

Summary:
For the uncorrected formation energy, the calculation gives -0.169 eV/atom. As for the symmetry: P2/m, No. 10.



Density functional theory data (GGA-PBE) for a relaxed K2VCr2S6 crystal.

Cell and atoms, written as POSCAR:
```
K2VCr2S6
1.0
3.0618 -5.2818 0.0000
3.0618 5.2818 0.0000
-2.0356 0.0000 7.3917
K V Cr S
2 1 2 6
direct
0.1666 0.8334 0.0000 K
0.8334 0.1666 0.0000 K
0.0000 0.0000 0.5000 V
0.3320 0.6680 0.5000 Cr
0.6680 0.3320 0.5000 Cr
0.0616 0.3919 0.6765 S
0.2763 0.2763 0.3246 S
0.3919 0.0616 0.6765 S
0.6081 0.9384 0.3235 S
0.7237 0.7237 0.6754 S
0.9384 0.6081 0.3235 S
```

Summary:
For the uncorrected formation energy, the calculation gives -0.922 eV/atom. As for the symmetry: C2/m, No. 12.



Density functional theory data (GGA-PBE) for a relaxed Sn3PIr crystal.

Cell and atoms, written as POSCAR:
```
Sn3PIr
1.0
5.1008 0.0000 0.0000
0.0000 5.1008 0.0000
0.0000 0.0000 5.1008
Sn P Ir
3 1 1
direct
0.0000 0.0000 0.5000 Sn
0.0000 0.5000 0.0000 Sn
0.5000 0.0000 0.0000 Sn
0.5000 0.5000 0.5000 P
0.0000 0.0000 0.0000 Ir
```

Summary:
The calculation puts the energy of formation at 26.6 kJ/mol of atoms. As for the symmetry: Pm-3m, No. 221.



What did the third record say?
Density functional theory data (GGA-PBE) for a relaxed CoSiRh2 crystal.

Cell and atoms, written as POSCAR:
```
CoSiRh2
1.0
2.7664 0.0000 0.0000
0.0000 3.6754 0.0000
-0.9692 0.0000 5.1675
Co Si Rh
1 1 2
direct
0.0000 0.0000 0.0000 Co
0.0000 0.0000 0.5000 Si
0.3916 0.5000 0.7435 Rh
0.6084 0.5000 0.2565 Rh
```

Summary:
For the uncorrected formation energy, the calculation gives -0.309 eV/atom. As for the symmetry: P2/m, No. 10.